Record 1
Density functional theory data (PBE) for ZrZn2Co2 after structural relaxation.

```
ZrZn2Co2
1.0
3.702 0.000 0.000
0.000 3.702 0.000
1.851 1.851 5.392
Co Zn Zr
2 2 1
direct
0.399 0.399 0.202 Co
0.601 0.601 0.798 Co
0.250 0.750 0.500 Zn
0.750 0.250 0.500 Zn
0.000 0.000 0.000 Zr
```

The formation energy is -0.32 eV/f.u. The calculation puts the energy relative to the lowest polymorph listed for this composition at 0.124 eV/f.u. As for the crystal system: tetragonal. The calculation puts the magnetic moment at 0.00 μB per atom. As for the calculated volume: 14.78 Å³/atom.



Record 2
Density functional theory data (PBE) for RbVSn2S after structural relaxation.

```
RbVSn2S
1.0
5.314 0.000 0.000
0.000 4.696 0.000
0.000 0.000 5.314
Rb Sn S V
1 2 1 1
direct
0.500 0.500 0.500 Rb
0.500 0.000 0.000 Sn
0.000 0.000 0.500 Sn
0.000 0.500 0.000 S
0.000 0.000 0.000 V
```

Its calculated total energy is -4.53 eV/atom. As for the crystal system: tetragonal. The calculation puts the magnetic moment at 0.00 μB per atom. As for the calculated volume: 26.51 Å³/atom.



> The highest calculated volume belongs to which entry?

RbVSn2S



> Look up the calculated volume of the second one.

26.51 Å³/atom



> calculated volume of number 1 (ZrZn2Co2)?

14.78 Å³/atom